Computed, not measured: a geometry-optimized HoAlInPd structure at the PBE level of DFT.

Results
E_tot = -72.874 eV/cell

a b c (Å): 6.851 6.851 6.851
angles (deg): 90.00 90.00 90.00
Space group F-43m (No. 216)
Unique sites:
Ho 0.000 0.000 0.000 [4 per cell]
Al 0.000 0.000 0.500 [4 per cell]
In 0.250 0.250 0.750 [4 per cell]
Pd 0.250 0.250 0.250 [4 per cell]